Record 1
Computed, not measured: a geometry-optimized RbUTeO6 structure at the PBE level of DFT.

DOS(E_F), states/eV/cell: 6.09
SG: P-31c, No. 163
Formation energy without anion corrections, eV/atom: -2.01
VASP energy, eV per cell: -126.43

Unit cell a=5.689 b=5.689 c=12.443 alpha=90.00 beta=90.00 gamma=120.00
Site moments in Bohr magnetons follow the coordinates.
Element x y z (fractional)
Te 0.333 0.667 0.250  0.14
O 0.393 0.380 0.839  0.03
Rb 0.000 0.000 0.500  0.00
O 0.013 0.393 0.161  0.03
U 0.333 0.667 0.750  0.54
O 0.013 0.620 0.339  0.03
O 0.607 0.987 0.339  0.03
Rb 0.000 0.000 0.000  0.00
O 0.620 0.607 0.661  0.03
O 0.380 0.393 0.339  0.03
O 0.987 0.607 0.839  0.03
Te 0.667 0.333 0.750  0.14
O 0.607 0.620 0.161  0.03
O 0.620 0.013 0.839  0.03
O 0.987 0.380 0.661  0.03
U 0.667 0.333 0.250  0.54
O 0.380 0.987 0.161  0.03
O 0.393 0.013 0.661  0.03

Record 2
Computed, not measured: a geometry-optimized ScMn2Cr structure at the PBE level of DFT.

DOS(E_F), states/eV/cell: 4.31
SG: C2/m, No. 12
Formation energy, eV per atom: 0.300
VASP energy, eV per cell: -33.09

Unit cell a=4.815 b=4.815 c=2.642 alpha=78.57 beta=78.57 gamma=114.09
Site moments in Bohr magnetons follow the coordinates.
Element x y z (fractional)
Cr 0.000 0.500 0.500  -0.60
Mn 0.500 0.500 0.000  0.57
Mn 0.000 0.000 0.000  0.57
Sc 0.500 0.000 0.500  -0.08

Record 3
Computed, not measured: a geometry-optimized LiTeRu2 structure at the PBE level of DFT.

DOS(E_F), states/eV/cell: 5.30
SG: I-4m2, No. 119
Formation energy without anion corrections, eV/atom: 0.15
VASP energy, eV per cell: -23.00

Unit cell a=4.860 b=4.860 c=4.860 alpha=132.66 beta=132.66 gamma=69.19
Element x y z (fractional)
Ru 0.250 0.750 0.500
Li 0.750 0.250 0.500
Ru 0.000 0.000 0.000
Te 0.500 0.500 0.000

Record 4
Computed, not measured: a geometry-optimized Y2Zn3Cu12Au structure at the PBE level of DFT.

DOS(E_F), states/eV/cell: 7.46
SG: R-3m, No. 166
Formation energy, eV per atom: 0.042
VASP energy, eV per cell: -68.43

Unit cell a=6.553 b=6.553 c=6.553 alpha=85.15 beta=85.15 gamma=85.15
Element x y z (fractional)
Cu 0.798 0.288 0.798
Cu 0.138 0.582 0.582
Cu 0.418 0.418 0.862
Y 0.290 0.290 0.290
Cu 0.202 0.712 0.202
Zn 0.000 0.500 0.000
Cu 0.582 0.138 0.582
Au 0.000 0.000 0.000
Cu 0.418 0.862 0.418
Cu 0.712 0.202 0.202
Cu 0.202 0.202 0.712
Cu 0.582 0.582 0.138
Zn 0.500 0.000 0.000
Cu 0.798 0.798 0.288
Cu 0.862 0.418 0.418
Zn 0.000 0.000 0.500
Cu 0.288 0.798 0.798
Y 0.710 0.710 0.710

Record 5
Computed, not measured: a geometry-optimized Mg7Ni2Pt2 structure at the PBE level of DFT.

DOS(E_F), states/eV/cell: 5.10
SG: Cmmm, No. 65
Formation energy, eV per atom: -0.184
VASP energy, eV per cell: -36.83

Unit cell a=5.785 b=6.654 c=5.785 alpha=90.00 beta=106.31 gamma=90.00
Element x y z (fractional)
Pt 0.710 0.000 0.290
Mg 0.000 0.712 0.500
Mg 0.500 0.712 0.000
Mg 0.500 0.725 0.500
Mg 0.500 0.275 0.500
Pt 0.290 0.000 0.710
Mg 0.500 0.288 0.000
Ni 0.169 0.500 0.169
Mg 0.000 0.000 0.000
Ni 0.831 0.500 0.831
Mg 0.000 0.288 0.500

Record 6
Computed, not measured: a geometry-optimized AcTbPr2Y2 structure at the PBE level of DFT.

DOS(E_F), states/eV/cell: 18.39
SG: Pmma, No. 51
Formation energy, eV per atom: 0.061
VASP energy, eV per cell: -61.72

Unit cell a=5.802 b=7.293 c=10.021 alpha=90.00 beta=90.00 gamma=90.00
Element x y z (fractional)
Pr 0.000 0.258 0.838
Tb 0.500 0.757 0.328
Y 0.000 0.758 0.839
Tb 0.500 0.257 0.672
Y 0.500 0.508 0.000
Y 0.500 0.008 0.000
Ac 0.000 0.507 0.500
Pr 0.500 0.257 0.326
Y 0.000 0.258 0.161
Pr 0.000 0.758 0.162
Ac 0.000 0.007 0.500
Pr 0.500 0.757 0.674

Record 7
Computed, not measured: a geometry-optimized Na3Pr3HfTe8 structure at the PBE level of DFT.

SG: R-3m, No. 166
Formation energy without anion corrections, eV/atom: -1.20
VASP energy, eV per cell: -71.44

Unit cell a=8.970 b=8.970 c=9.260 alpha=119.00 beta=90.00 gamma=120.00
Element x y z (fractional)
Te 0.252 0.505 0.257
Pr 0.500 0.000 0.500
Pr 0.000 0.500 0.500
Te 0.229 0.458 0.726
Te 0.232 0.003 0.275
Te 0.771 0.003 0.275
Te 0.748 0.495 0.743
Hf 0.000 0.000 0.500
Pr 0.500 0.500 0.500
Na 0.500 0.500 0.000
Te 0.771 0.542 0.274
Na 0.000 0.500 0.000
Te 0.768 0.997 0.725
Te 0.229 0.997 0.725
Na 0.000 0.000 0.000

Record 8
Computed, not measured: a geometry-optimized RbMn2NiGe structure at the PBE level of DFT.

DOS(E_F), states/eV/cell: 3.76
SG: P4/mmm, No. 123
Formation energy, eV per atom: 0.708
VASP energy, eV per cell: -26.16

Unit cell a=4.907 b=4.664 c=4.907 alpha=90.00 beta=90.00 gamma=90.00
Site moments in Bohr magnetons follow the coordinates.
Element x y z (fractional)
Rb 0.500 0.500 0.500  0.01
Mn 0.500 0.000 0.000  3.79
Mn 0.000 0.000 0.500  4.05
Ni 0.000 0.500 0.000  0.42
Ge 0.000 0.000 0.000  -0.05

Number 1: calculated volume 19.4 Å³/atom. Number 2: calculated volume 13.0 Å³/atom. Number 3: calculated volume 15.2 Å³/atom. Number 4: calculated volume 15.5 Å³/atom. Number 5: calculated volume 19.4 Å³/atom. Number 6: calculated volume 35.3 Å³/atom. Number 7: calculated volume 35.6 Å³/atom. Number 8: calculated volume 22.5 Å³/atom.